# CrO2

A relaxed CrO2 crystal (GGA+U, Alexandria via LeMat-Bulk).

Structure (extended XYZ):
```
12
Lattice="3.005 0.000 0.000 0.000 4.774 0.000 0.000 0.000 9.292" Properties=species:S:1:pos:R:3 pbc="T T T"
O 0.751 3.747 7.240
O 0.751 0.891 8.904
O 2.254 1.360 6.698
O 0.751 3.414 2.594
O 2.254 3.883 0.388
O 2.254 1.027 2.052
O 0.751 1.496 4.258
O 2.254 3.278 5.034
Cr 0.751 2.367 5.944
Cr 0.751 0.020 1.298
Cr 2.254 4.754 7.994
Cr 2.254 2.406 3.348
```

Values from the calculation:
Electronic total energy, eV/atom: -7.36
SG: Pnma